# 1
## Na2ScOsS6 (PBE)

Data for Na2ScOsS6 after structural relaxation.

Cell: 6.2488 6.2488 10.1319 Å, 90.00 90.00 90.00°
Closest atoms and distances in Å follow each position.
Space group I4/m (No. 87)
Asymmetric unit:
Na 0.0000 0.5000 0.2500 [4 per cell]  8 S 2.82-3.13
Sc 0.0000 0.0000 0.0000 [2 per cell]  6 S 2.47-2.68
Os 0.0000 0.0000 0.5000 [2 per cell]  6 S 2.36-2.38
S 0.0000 0.0000 0.2648 [4 per cell]  1 Os 2.38
S 0.1330 0.6459 0.5000 [8 per cell]  1 Os 2.36, 1 S 2.47, 1 Sc 2.47

=====

# 2
## Na2ZnOsS4 (PBE)

Data for Na2ZnOsS4 after structural relaxation.

Cell: 8.9489 9.4039 6.3289 Å, 90.00 134.97 90.00°
Closest atoms and distances in Å follow each position.
Space group C2 (No. 5)
Asymmetric unit:
Na 0.0000 0.0000 0.0000 [2 per cell]  4 S 2.84
Na 0.0000 0.2491 0.5000 [2 per cell]  4 S 2.77
Zn 0.0000 0.7500 0.5000 [2 per cell]  4 S 2.35
Os 0.0000 0.4998 0.0000 [2 per cell]  4 S 2.23
S 0.1841 0.6232 0.9460 [4 per cell]  1 Os 2.23, 1 Zn 2.35
S 0.2380 0.3766 0.4224 [4 per cell]  1 Os 2.23, 1 Zn 2.35

=====

Total magnetization list, top to bottom, in μB per formula unit: 1.0 0.0
Raw total energy list, top to bottom, in Ry per atom: -0.3768 -0.3287